First-principles (PBE) data for a relaxed CoCu2Pb crystal, as listed in Alexandria.

Cell and atoms, written as CIF:
```
data_CoCu2Pb
_chemical_formula_sum 'Co4 Cu8 Pb4'
_symmetry_space_group_name_H-M 'I -4 2 d'
_symmetry_Int_Tables_number 122
_symmetry_space_group_name_Hall 'I -4 2bw'
_cell_length_a 3.6919
_cell_length_b 3.6919
_cell_length_c 18.8033
_cell_angle_alpha 90.00
_cell_angle_beta 90.00
_cell_angle_gamma 90.00
loop_
_atom_site_label
_atom_site_fract_x
_atom_site_fract_y
_atom_site_fract_z
Co1 0.0000 0.0000 0.0000
Cu1 0.2188 0.2500 0.1250
Pb1 0.0000 0.0000 0.5000
```

Output
* formation enthalpy at 0 K: 0.529 eV/atom
* density of states at the Fermi level: 2.1 states/eV/f.u.
* calculated total energy: -4.222 eV/atom